DFT (meta-GGA SCAN) results for MnBeTl2 at its PBEsol-relaxed geometry.

The space group is Imm2 (44). As for the formation energy: 0.37 eV per atom.

Unit cell a=6.049 b=6.049 c=6.049 alpha=150.03 beta=138.12 gamma=52.35
Element x y z (fractional)
Mn: 0.000 0.000 0.000
Be: 0.836 0.336 0.500
Tl: 0.294 0.794 0.500
Tl: 0.577 0.577 0.000


DFT (meta-GGA SCAN) results for TbFe10Si2 at its PBEsol-relaxed geometry.

The space group is Immm (71). Its uncorrected formation energy is -231 meV per atom.

Unit cell a=6.241 b=6.241 c=6.241 alpha=136.41 beta=98.24 gamma=97.61
Element x y z (fractional)
Tb: 0.000 0.000 0.000
Fe: 0.000 0.000 0.500
Fe: 0.000 0.500 0.000
Fe: 0.213 0.500 0.713
Fe: 0.355 0.000 0.355
Fe: 0.362 0.362 0.000
Fe: 0.500 0.000 0.000
Fe: 0.500 0.500 0.500
Fe: 0.638 0.638 0.000
Fe: 0.645 0.000 0.645
Fe: 0.787 0.500 0.287
Si: 0.236 0.736 0.500
Si: 0.764 0.264 0.500


DFT (meta-GGA SCAN) results for MoOsAu2 at its PBEsol-relaxed geometry.

The space group is Cm (8). As for the formation energy: 0.37 eV per atom.

Unit cell a=4.820 b=4.820 c=4.895 alpha=99.19 beta=99.19 gamma=33.73
Element x y z (fractional)
Mo: 0.000 0.000 0.000
Os: 0.258 0.258 0.794
Au: 0.507 0.507 0.517
Au: 0.752 0.752 0.277


DFT (meta-GGA SCAN) results for BeCr2Re at its PBEsol-relaxed geometry.

The space group is Cmm2 (35). As for the formation energy: 0.58 eV per atom.

Unit cell a=2.538 b=2.538 c=8.504 alpha=90.00 beta=90.00 gamma=112.37
Element x y z (fractional)
Be: 0.000 0.000 0.000
Cr: 0.000 0.000 0.719
Cr: 0.500 0.500 0.514
Re: 0.500 0.500 0.228


DFT (meta-GGA SCAN) results for YB3S at its PBEsol-relaxed geometry.

The space group is Pm-3m (221). Its uncorrected formation energy is 2526 meV per atom.

Unit cell a=4.708 b=4.708 c=4.708 alpha=90.00 beta=90.00 gamma=90.00
Element x y z (fractional)
Y: 0.000 0.000 0.000
B: 0.000 0.000 0.500
B: 0.000 0.500 0.000
B: 0.500 0.000 0.000
S: 0.500 0.500 0.500


DFT (meta-GGA SCAN) results for CoSb2PW at its PBEsol-relaxed geometry.

The space group is P4/mmm (123). Its uncorrected formation energy is 1353 meV per atom.

Unit cell a=5.143 b=5.143 c=4.492 alpha=90.00 beta=90.00 gamma=90.00
Element x y z (fractional)
Co: 0.000 0.000 0.000
Sb: 0.000 0.500 0.500
Sb: 0.500 0.000 0.500
P: 0.500 0.500 0.000
W: 0.000 0.000 0.500


DFT (meta-GGA SCAN) results for Mg2Ag2Hg at its PBEsol-relaxed geometry.

The space group is I4/mmm (139). As for the formation energy: 0.05 eV per atom.

Unit cell a=6.865 b=6.865 c=6.865 alpha=145.30 beta=145.30 gamma=49.89
Element x y z (fractional)
Mg: 0.250 0.750 0.500
Mg: 0.750 0.250 0.500
Ag: 0.105 0.105 0.000
Ag: 0.895 0.895 0.000
Hg: 0.500 0.500 0.000


DFT (meta-GGA SCAN) results for ScP3H6O12 at its PBEsol-relaxed geometry.

The space group is R3c (161). Its total energy is -8.49 eV per atom.

Unit cell a=9.764 b=9.764 c=9.764 alpha=50.58 beta=50.58 gamma=50.58
Element x y z (fractional)
Sc: 0.000 0.000 0.000
Sc: 0.500 0.500 0.500
P: 0.087 0.750 0.413
P: 0.250 0.587 0.913
P: 0.413 0.087 0.750
P: 0.587 0.913 0.250
P: 0.750 0.413 0.087
P: 0.913 0.250 0.587
H: 0.036 0.484 0.196
H: 0.196 0.036 0.484
H: 0.477 0.478 0.998
H: 0.478 0.998 0.477
H: 0.484 0.196 0.036
H: 0.498 0.978 0.977
H: 0.536 0.696 0.984
H: 0.696 0.984 0.536
H: 0.977 0.498 0.978
H: 0.978 0.977 0.498
H: 0.984 0.536 0.696
H: 0.998 0.477 0.478
O: 0.002 0.586 0.560
O: 0.060 0.086 0.502
O: 0.086 0.502 0.060
O: 0.091 0.818 0.223
O: 0.181 0.775 0.911
O: 0.223 0.091 0.818
O: 0.275 0.681 0.411
O: 0.318 0.591 0.723
O: 0.411 0.275 0.681
O: 0.413 0.427 0.999
O: 0.427 0.999 0.413
O: 0.499 0.927 0.913
O: 0.502 0.060 0.086
O: 0.560 0.002 0.586
O: 0.586 0.560 0.002
O: 0.591 0.723 0.318
O: 0.681 0.411 0.275
O: 0.723 0.318 0.591
O: 0.775 0.911 0.181
O: 0.818 0.223 0.091
O: 0.911 0.181 0.775
O: 0.913 0.499 0.927
O: 0.927 0.913 0.499
O: 0.999 0.413 0.427


DFT (meta-GGA SCAN) results for PbCl at its PBEsol-relaxed geometry.

The space group is I4_1/amd (141). Its uncorrected formation energy is -603 meV per atom.

Unit cell a=6.573 b=6.573 c=6.573 alpha=142.48 beta=142.48 gamma=54.11
Element x y z (fractional)
Pb: 0.375 0.625 0.750
Pb: 0.625 0.375 0.250
Cl: 0.125 0.875 0.250
Cl: 0.875 0.125 0.750


DFT (meta-GGA SCAN) results for Li3Pt at its PBEsol-relaxed geometry.

The space group is R-3m (166). As for the formation energy: -0.44 eV per atom.

Unit cell a=4.884 b=4.884 c=4.884 alpha=116.55 beta=116.55 gamma=116.55
Element x y z (fractional)
Li: 0.000 0.500 0.500
Li: 0.500 0.000 0.500
Li: 0.500 0.500 0.000
Pt: 0.000 0.000 0.000


DFT (meta-GGA SCAN) results for LaSb2Pd2 at its PBEsol-relaxed geometry.

The space group is P4/nmm (129). Its uncorrected formation energy is -1014 meV per atom.

Unit cell a=4.643 b=4.643 c=10.321 alpha=90.00 beta=90.00 gamma=90.00
Element x y z (fractional)
La: 0.250 0.250 0.242
La: 0.750 0.750 0.758
Sb: 0.250 0.250 0.873
Sb: 0.250 0.750 0.500
Sb: 0.750 0.250 0.500
Sb: 0.750 0.750 0.127
Pd: 0.250 0.250 0.624
Pd: 0.250 0.750 0.000
Pd: 0.750 0.250 0.000
Pd: 0.750 0.750 0.376


DFT (meta-GGA SCAN) results for Na3V3O8 at its PBEsol-relaxed geometry.

The space group is P-3m1 (164). Its uncorrected formation energy is -2487 meV per atom.

Unit cell a=5.465 b=5.465 c=6.720 alpha=90.00 beta=90.00 gamma=120.00
Element x y z (fractional)
Na: 0.000 0.000 0.000
Na: 0.333 0.667 0.653
Na: 0.667 0.333 0.347
V: 0.000 0.000 0.500
V: 0.333 0.667 0.224
V: 0.667 0.333 0.776
O: 0.165 0.330 0.328
O: 0.165 0.835 0.328
O: 0.330 0.165 0.672
O: 0.333 0.667 0.978
O: 0.667 0.333 0.022
O: 0.670 0.835 0.328
O: 0.835 0.165 0.672
O: 0.835 0.670 0.672